*w*
The following is a DFT calculation (SCAN) of BeMo2Pb at its PBEsol-relaxed geometry.

Cell: 3.185 4.548 5.099 Å, 101.04 90.02 110.32°
Fractional coordinates of all 4 atoms:
Be 0.000 0.000 0.000
Mo 0.465 0.930 0.365
Mo 0.745 0.489 0.183
Pb 0.236 0.473 0.699

Output
* mass density: 10.0 g cm⁻³

*x*
The following is a DFT calculation (SCAN) of BeMo2Pb at its PBEsol-relaxed geometry.

Cell: 4.873 4.873 2.978 Å, 90.00 90.00 114.67°
Fractional coordinates of all 4 atoms:
Be 0.000 0.000 0.000
Mo 0.000 0.500 0.500
Mo 0.500 0.000 0.500
Pb 0.500 0.500 0.000

Output
* mass density: 10.5 g cm⁻³

*y*
The following is a DFT calculation (SCAN) of BeMo2Pb at its PBEsol-relaxed geometry.

Cell: 5.201 5.201 2.857 Å, 100.19 100.19 117.09°
Fractional coordinates of all 4 atoms:
Be 0.000 0.000 0.000
Mo 0.000 0.500 0.500
Mo 0.500 0.000 0.500
Pb 0.500 0.500 0.000

Output
* mass density: 10.5 g cm⁻³

Of them, *x* has the lowest stability.

*w*
The following is a DFT calculation (SCAN) of Be2MoPt at its PBEsol-relaxed geometry.

Cell: 3.797 4.589 4.589 Å, 34.73 90.00 90.00°
Fractional coordinates of all 4 atoms:
Be 0.000 0.000 0.000
Be 0.500 0.147 0.147
Mo 0.000 0.728 0.728
Pt 0.500 0.427 0.427

Output
* mass density: 11.3 g cm⁻³

*x*
The following is a DFT calculation (SCAN) of Be2MoPt at its PBEsol-relaxed geometry.

Cell: 4.135 4.135 2.673 Å, 90.00 90.00 90.00°
Fractional coordinates of all 4 atoms:
Be 0.000 0.500 0.000
Be 0.500 0.000 0.000
Mo 0.000 0.000 0.500
Pt 0.500 0.500 0.500

Output
* mass density: 11.2 g cm⁻³

Of them, *x* has the lowest stability.

*w*
The following is a DFT calculation (SCAN) of ScBeMo3 at its PBEsol-relaxed geometry.

Cell: 4.496 4.496 4.496 Å, 90.00 90.00 90.00°
Fractional coordinates of all 5 atoms:
Sc 0.000 0.000 0.000
Be 0.500 0.500 0.500
Mo 0.000 0.000 0.500
Mo 0.000 0.500 0.000
Mo 0.500 0.000 0.000

Output
* mass density: 6.2 g cm⁻³

*x*
The following is a DFT calculation (SCAN) of ScBeMo3 at its PBEsol-relaxed geometry.

Cell: 4.294 4.294 4.294 Å, 90.00 90.00 90.00°
Fractional coordinates of all 5 atoms:
Sc 0.000 0.000 0.000
Be 0.500 0.500 0.500
Mo 0.000 0.500 0.500
Mo 0.500 0.000 0.500
Mo 0.500 0.500 0.000

Output
* mass density: 7.2 g cm⁻³

Of them, *w* has the lowest stability.

*w*
The following is a DFT calculation (SCAN) of BeSi2Mo at its PBEsol-relaxed geometry.

Cell: 5.259 5.259 5.259 Å, 102.06 102.06 125.61°
Fractional coordinates of all 8 atoms:
Be 0.000 0.000 0.000
Be 0.750 0.250 0.500
Si 0.084 0.625 0.959
Si 0.375 0.334 0.459
Si 0.666 0.125 0.041
Si 0.875 0.916 0.541
Mo 0.250 0.750 0.500
Mo 0.500 0.500 0.000

Output
* mass density: 5.1 g cm⁻³

*x*
The following is a DFT calculation (SCAN) of BeSi2Mo at its PBEsol-relaxed geometry.

Cell: 4.126 4.126 4.126 Å, 60.00 60.00 60.00°
Fractional coordinates of all 4 atoms:
Be 0.000 0.000 0.000
Si 0.250 0.250 0.250
Si 0.500 0.500 0.500
Mo 0.750 0.750 0.750

Output
* mass density: 5.4 g cm⁻³

Of them, *w* has the lowest stability.

*w*
The following is a DFT calculation (SCAN) of BeSiMo2 at its PBEsol-relaxed geometry.

Cell: 4.189 4.189 4.189 Å, 60.00 60.00 60.00°
Fractional coordinates of all 4 atoms:
Be 0.000 0.000 0.000
Si 0.750 0.750 0.750
Mo 0.250 0.250 0.250
Mo 0.500 0.500 0.500

Output
* mass density: 7.3 g cm⁻³

*x*
The following is a DFT calculation (SCAN) of BeSiMo2 at its PBEsol-relaxed geometry.

Cell: 4.691 4.691 4.691 Å, 139.21 128.98 67.29°
Fractional coordinates of all 4 atoms:
Be 0.000 0.000 0.000
Si 0.781 0.281 0.500
Mo 0.254 0.754 0.500
Mo 0.520 0.520 0.000

Output
* mass density: 7.4 g cm⁻³

Of them, *w* has the lowest stability.

*w*
The following is a DFT calculation (SCAN) of SrBeMo at its PBEsol-relaxed geometry.

Cell: 3.702 3.702 5.321 Å, 90.00 90.00 120.00°
Fractional coordinates of all 3 atoms:
Sr 0.000 0.000 0.000
Be 0.667 0.333 0.598
Mo 0.333 0.667 0.465

Output
* mass density: 5.1 g cm⁻³

*x*
The following is a DFT calculation (SCAN) of SrBeMo at its PBEsol-relaxed geometry.

Cell: 4.533 4.533 4.533 Å, 60.00 60.00 60.00°
Fractional coordinates of all 3 atoms:
Sr 0.000 0.000 0.000
Be 0.250 0.250 0.250
Mo 0.500 0.500 0.500

Output
* mass density: 4.9 g cm⁻³

Of them, *x* has the lowest stability.

*w*
The following is a DFT calculation (SCAN) of TaBe2Mo at its PBEsol-relaxed geometry.

Cell: 4.390 4.390 4.390 Å, 128.84 128.84 75.26°
Fractional coordinates of all 4 atoms:
Ta 0.000 0.000 0.000
Be 0.250 0.750 0.500
Be 0.750 0.250 0.500
Mo 0.500 0.500 0.000

Output
* mass density: 9.8 g cm⁻³

*x*
The following is a DFT calculation (SCAN) of TaBe2Mo at its PBEsol-relaxed geometry.

Cell: 3.319 4.755 4.755 Å, 39.93 90.00 90.00°
Fractional coordinates of all 4 atoms:
Ta 0.000 0.000 0.000
Be 0.000 0.276 0.276
Be 0.500 0.409 0.409
Mo 0.500 0.695 0.695

Output
* mass density: 10.2 g cm⁻³

Of them, *w* has the lowest stability.

*w*
The following is a DFT calculation (SCAN) of Be2TcMo at its PBEsol-relaxed geometry.

Cell: 4.191 4.191 4.191 Å, 126.79 126.79 78.59°
Fractional coordinates of all 4 atoms:
Be 0.250 0.750 0.500
Be 0.750 0.250 0.500
Tc 0.000 0.000 0.000
Mo 0.500 0.500 0.000

Output
* mass density: 7.7 g cm⁻³

*x*
The following is a DFT calculation (SCAN) of Be2TcMo at its PBEsol-relaxed geometry.

Cell: 2.996 2.996 5.070 Å, 90.00 90.00 90.00°
Fractional coordinates of all 4 atoms:
Be 0.000 0.000 0.228
Be 0.000 0.000 0.772
Tc 0.500 0.500 0.000
Mo 0.500 0.500 0.500

Output
* mass density: 7.7 g cm⁻³

*y*
The following is a DFT calculation (SCAN) of Be2TcMo at its PBEsol-relaxed geometry.

Cell: 3.201 4.652 4.652 Å, 39.01 90.00 90.00°
Fractional coordinates of all 4 atoms:
Be 0.000 0.000 0.000
Be 0.500 0.136 0.136
Tc 0.500 0.416 0.416
Mo 0.000 0.724 0.724

Output
* mass density: 8.1 g cm⁻³

Of them, *w* has the lowest stability.

*w*
The following is a DFT calculation (SCAN) of BeTeMo2 at its PBEsol-relaxed geometry.

Cell: 4.397 4.397 4.397 Å, 60.00 60.00 60.00°
Fractional coordinates of all 4 atoms:
Be 0.000 0.000 0.000
Te 0.500 0.500 0.500
Mo 0.250 0.250 0.250
Mo 0.750 0.750 0.750

Output
* mass density: 9.1 g cm⁻³

*x*
The following is a DFT calculation (SCAN) of BeTeMo2 at its PBEsol-relaxed geometry.

Cell: 4.850 4.850 4.850 Å, 132.52 132.52 69.41°
Fractional coordinates of all 4 atoms:
Be 0.000 0.000 0.000
Te 0.250 0.750 0.500
Mo 0.500 0.500 0.000
Mo 0.750 0.250 0.500

Output
* mass density: 9.0 g cm⁻³

Of them, *w* has the lowest stability.

*w*
The following is a DFT calculation (SCAN) of BeTeMo at its PBEsol-relaxed geometry.

Cell: 4.273 4.273 4.273 Å, 60.00 60.00 60.00°
Fractional coordinates of all 3 atoms:
Be 0.000 0.000 0.000
Te 0.250 0.250 0.250
Mo 0.500 0.500 0.500

Output
* mass density: 7.0 g cm⁻³

*x*
The following is a DFT calculation (SCAN) of BeTeMo at its PBEsol-relaxed geometry.

Cell: 4.723 4.723 4.723 Å, 139.04 139.04 59.31°
Fractional coordinates of all 3 atoms:
Be 0.000 0.000 0.000
Te 0.322 0.322 0.000
Mo 0.650 0.650 0.000

Output
* mass density: 8.6 g cm⁻³

Of them, *w* has the lowest stability.

*w*
The following is a DFT calculation (SCAN) of BeTl2Mo at its PBEsol-relaxed geometry.

Cell: 2.930 2.930 8.486 Å, 90.00 90.00 90.00°
Fractional coordinates of all 4 atoms:
Be 0.000 0.000 0.000
Tl 0.500 0.500 0.235
Tl 0.500 0.500 0.765
Mo 0.000 0.000 0.500

Output
* mass density: 11.7 g cm⁻³

*x*
The following is a DFT calculation (SCAN) of BeTl2Mo at its PBEsol-relaxed geometry.

Cell: 5.005 5.005 3.027 Å, 90.00 90.00 108.93°
Fractional coordinates of all 4 atoms:
Be 0.000 0.000 0.000
Tl 0.000 0.500 0.500
Tl 0.500 0.000 0.500
Mo 0.500 0.500 0.000

Output
* mass density: 11.9 g cm⁻³

Of them, *w* has the lowest stability.

*w*
The following is a DFT calculation (SCAN) of Be2MoW2 at its PBEsol-relaxed geometry.

Cell: 5.716 5.716 5.716 Å, 143.54 143.54 52.52°
Fractional coordinates of all 5 atoms:
Be 0.091 0.091 0.000
Be 0.909 0.909 0.000
Mo 0.500 0.500 0.000
W 0.250 0.750 0.500
W 0.750 0.250 0.500

Output
* mass density: 12.2 g cm⁻³

*x*
The following is a DFT calculation (SCAN) of Be2MoW2 at its PBEsol-relaxed geometry.

Cell: 6.181 6.181 3.193 Å, 90.00 90.00 90.00°
Fractional coordinates of all 10 atoms:
Be 0.118 0.382 0.000
Be 0.382 0.882 0.000
Be 0.618 0.118 0.000
Be 0.882 0.618 0.000
Mo 0.000 0.000 0.000
Mo 0.500 0.500 0.000
W 0.176 0.676 0.500
W 0.324 0.176 0.500
W 0.676 0.824 0.500
W 0.824 0.324 0.500

Output
* mass density: 13.1 g cm⁻³

Of them, *w* has the lowest stability.